DFT (GGA-PBE) results for a relaxed BaCaOs crystal.

Unit cell a=5.086 b=5.111 c=14.749 alpha=90.00 beta=90.00 gamma=90.00
Space group Fmm2 (No. 42)
Asymmetric unit:
Ba: 0.000 0.000 0.000 (multiplicity 4)
Ca: 0.000 0.000 0.238 (multiplicity 4)
Os: 0.000 0.000 0.632 (multiplicity 4)

## Properties
offset from the most stable computed form = 0.000 eV per atom
N(E_F) = 22.0 states/eV per cell
crystal system = orthorhombic
theoretical density = 6369 kg/m3
ΔE_f = 0.63 eV/atom

=====

DFT (GGA-PBE) results for a relaxed YP2AuO crystal.

Unit cell a=5.435 b=5.435 c=4.110 alpha=90.00 beta=90.00 gamma=90.00
Space group P4/mmm (No. 123)
Asymmetric unit:
Y: 0.000 0.000 0.000 (multiplicity 1)
P: 0.000 0.500 0.000 (multiplicity 2)
Au: 0.500 0.500 0.500 (multiplicity 1)
O: 0.000 0.000 0.500 (multiplicity 1)

## Properties
offset from the most stable computed form = 0.240 eV per atom
N(E_F) = 4.5 states/eV per cell
crystal system = tetragonal
theoretical density = 4976 kg/m3
raw formation energy = 0.18 eV per atom

=====

DFT (GGA-PBE) results for a relaxed LiNd2S4 crystal.

Unit cell a=6.882 b=5.532 c=8.190 alpha=90.00 beta=107.49 gamma=90.00
Space group P2_1/m (No. 11)
Asymmetric unit:
Li: 0.235 0.250 0.183 (multiplicity 2)
Nd: 0.227 0.750 0.436 (multiplicity 2)
Nd: 0.245 0.750 0.933 (multiplicity 2)
S: 0.063 0.250 0.894 (multiplicity 2)
S: 0.066 0.250 0.388 (multiplicity 2)
S: 0.487 0.011 0.745 (multiplicity 4)

## Properties
N(E_F) = 3.5 states/eV per cell
crystal system = monoclinic
theoretical density = 4731 kg/m3
raw formation energy = -1.69 eV per atom